{"formula": "LiAlHRh2", "functional": "GGA-PBE", "state": "relaxed", "lattice": [[4.077, 0.000, 0.000], [0.000, 4.077, 0.000], [0.000, 0.000, 3.236]], "species": ["H", "Rh", "Rh", "Al", "Li"], "frac_coords": [[0.000, 0.000, 0.000], [0.000, 0.500, 0.000], [0.500, 0.000, 0.000], [0.500, 0.500, 0.500], [0.000, 0.000, 0.500]], "magmom_total_mub_per_fu": 0.00, "dft_energy_ev_per_atom": -5.31, "spacegroup": "P4/mmm (123)", "n_ef_per_ev_cell": 1.9}